! CsTl2Pb (PBE-GGA, optimized geometry); values from VASP
&SYSTEM
  ibrav = 0, nat = 4, ntyp = 3
/
ATOMIC_SPECIES
Pb 207.20 Pb.upf
Cs 132.91 Cs.upf
Tl 204.38 Tl.upf
CELL_PARAMETERS angstrom
-4.684 1.059 2.108
-2.202 -3.394 3.337
0.905 2.512 7.273
ATOMIC_POSITIONS crystal
Pb 0.000 0.000 0.000
Cs 0.500 0.500 0.500
Tl 0.280 0.280 0.161
Tl 0.720 0.720 0.839
! Calculated volume ... 170 Å³ per cell
! Energy above the lowest structure with this stoichiometry ... 31 meV/atom
! N(E_F) ... 3.1 states/eV/cell
! Magnetic moment ... 0.0 μB per formula unit
! Raw total energy ... -2.400 eV per atom